1.
An optimized crystal structure of Ga3Sn, computed with PBE.

As for the calculated formation energy: 0.0475 eV/atom. For the density of states at the Fermi level, the calculation gives 2.4 states/eV/f.u. The calculated volume comes out at 341 Å³ per cell.

The structure belongs to space group Fm-3m (No. 225); the cell edges are 6.983, 6.983 and 6.983 Å and the angles 90.00°, 90.00° and 90.00°. The asymmetric unit holds Ga at (0.000, 0.000, 0.000), Ga at (0.250, 0.250, 0.250) and Sn at (0.000, 0.000, 0.500).

=====

2.
An optimized crystal structure of Pm3PSeCl, computed with PBE.

As for the total energy: -5.7223 eV per atom. For the density of states at the Fermi level, the calculation gives 3.0 states/eV/f.u. The calculated volume comes out at 348 Å³ per cell.

The structure belongs to space group P2_1/m (No. 11); the cell edges are 8.473, 4.074 and 10.082 Å and the angles 90.00°, 92.47° and 90.00°. The asymmetric unit holds Pm at (0.111, 0.250, 0.357), Pm at (0.157, 0.250, 0.920), Pm at (0.367, 0.750, 0.633), P at (0.129, 0.250, 0.641), Se at (0.373, 0.750, 0.340) and Cl at (0.382, 0.750, 0.913).

=====

3.
An optimized crystal structure of ErPuZnSi, computed with PBE.

As for the total energy: -6.7214 eV per atom. For the density of states at the Fermi level, the calculation gives 8.6 states/eV/f.u. The calculated volume comes out at 345 Å³ per cell.

The structure belongs to space group F-43m (No. 216); the cell edges are 7.012, 7.012 and 7.012 Å and the angles 90.00°, 90.00° and 90.00°. The asymmetric unit holds Er at (0.000, 0.000, 0.000), Pu at (0.000, 0.000, 0.500), Zn at (0.250, 0.250, 0.250) and Si at (0.250, 0.250, 0.750).

=====

4.
An optimized crystal structure of LiZnIr2, computed with PBE.

As for the calculated formation energy: -0.0411 eV/atom. For the density of states at the Fermi level, the calculation gives 4.4 states/eV/f.u. The calculated volume comes out at 56 Å³ per cell.

The structure belongs to space group P4/mmm (No. 123); the cell edges are 3.757, 3.757 and 3.935 Å and the angles 90.00°, 90.00° and 90.00°. The asymmetric unit holds Li at (0.000, 0.000, 0.000), Zn at (0.500, 0.500, 0.000) and Ir at (0.000, 0.500, 0.500).

=====

5.
An optimized crystal structure of LaPm6Pr4, computed with PBE.

As for the calculated formation energy: 0.1400 eV/atom. For the density of states at the Fermi level, the calculation gives 14.5 states/eV/f.u. The calculated volume comes out at 398 Å³ per cell.

The structure belongs to space group P-6m2 (No. 187); the cell edges are 11.2699, 11.2699 and 3.6180 Å and the angles 90.00°, 90.00° and 120.00°. The asymmetric unit holds La at (0.0000, 0.0000, 0.0000), Pm at (0.0045, 0.5022, 0.0000), Pm at (0.1676, 0.3352, 0.5000), Pr at (0.3333, 0.6667, 0.0000) and Pr at (0.3952, 0.1976, 0.5000).

=====

6.
An optimized crystal structure of Nb2V3Si3, computed with PBE.

As for the total energy: -8.3454 eV per atom. For the density of states at the Fermi level, the calculation gives 7.3 states/eV/f.u. The calculated volume comes out at 243 Å³ per cell.

The structure belongs to space group P6_3/mcm (No. 193); the cell edges are 7.3298, 7.3298 and 5.2187 Å and the angles 90.00°, 90.00° and 120.00°. The asymmetric unit holds Nb at (0.3333, 0.6667, 0.0000), V at (0.0000, 0.2551, 0.2500) and Si at (0.0000, 0.3806, 0.7500).

=====

calculated volume of number 6 (Nb2V3Si3)?
243 Å³ per cell

=====

The highest calculated volume belongs to which entry?
LaPm6Pr4

=====

Look up the calculated volume of the fifth one.
398 Å³ per cell

=====

The highest calculated volume belongs to which entry?
LaPm6Pr4